# 1
First-principles (PBE) data for a geometry-optimized Al3Ag12Sn structure, as listed in Alexandria via LeMat-Bulk.

M_tot in μB/f.u.: 0.00
Calculated density in Mg/m³: 8.7
Calculated total energy in eV/atom: -3.11
Formation energy from the elements in kJ/mol of atoms: -2

a = 4.165 Å, b = 4.165 Å, c = 16.369 Å
α = 90.00°, β = 90.00°, γ = 90.00°
Space group P4/mmm (No. 123)
Unique sites:
Al 0.000 0.000 0.000 (multiplicity 1)
Al 0.000 0.000 0.245 (multiplicity 2)
Ag 0.000 0.500 0.122 (multiplicity 4)
Ag 0.000 0.500 0.365 (multiplicity 4)
Ag 0.500 0.500 0.000 (multiplicity 1)
Ag 0.500 0.500 0.244 (multiplicity 2)
Ag 0.500 0.500 0.500 (multiplicity 1)
Sn 0.000 0.000 0.500 (multiplicity 1)


# 2
First-principles (PBE) data for a geometry-optimized PrTmHg5 structure, as listed in Alexandria via LeMat-Bulk.

M_tot in μB/f.u.: 0.00
Calculated density in Mg/m³: 11.4
Calculated total energy in eV/atom: -1.78
Formation energy from the elements in kJ/mol of atoms: -23

a = 6.341 Å, b = 8.701 Å, c = 6.943 Å
α = 90.00°, β = 90.00°, γ = 90.00°
Space group Cmmm (No. 65)
Unique sites:
Pr 0.000 0.000 0.000 (multiplicity 2)
Tm 0.000 0.500 0.500 (multiplicity 2)
Hg 0.000 0.000 0.500 (multiplicity 2)
Hg 0.250 0.250 0.247 (multiplicity 8)


# 3
First-principles (PBE) data for a geometry-optimized Ti3ReP structure, as listed in Alexandria via LeMat-Bulk.

M_tot in μB/f.u.: 0.03
Calculated density in Mg/m³: 6.8
Distance to the lowest polymorph of the same formula in meV/atom: 0
Calculated total energy in eV/atom: -8.16
Formation energy from the elements in kJ/mol of atoms: 15

a = 4.440 Å, b = 4.440 Å, c = 4.440 Å
α = 90.00°, β = 90.00°, γ = 90.00°
Space group Pm-3m (No. 221)
Unique sites:
Ti 0.000 0.000 0.500 (multiplicity 3)
Re 0.500 0.500 0.500 (multiplicity 1)
P 0.000 0.000 0.000 (multiplicity 1)


# 4
First-principles (PBE) data for a geometry-optimized LiP2Pb2 structure, as listed in Alexandria via LeMat-Bulk.

M_tot in μB/f.u.: 0.00
Calculated density in Mg/m³: 5.7
Distance to the lowest polymorph of the same formula in meV/atom: 269
Calculated total energy in eV/atom: -3.69
Formation energy from the elements in kJ/mol of atoms: 33

a = 4.517 Å, b = 4.517 Å, c = 13.898 Å
α = 90.00°, β = 90.00°, γ = 90.00°
Space group I4/mmm (No. 139)
Unique sites:
Li 0.000 0.000 0.000 (multiplicity 2)
P 0.000 0.500 0.250 (multiplicity 4)
Pb 0.000 0.000 0.373 (multiplicity 4)


# 5
First-principles (PBE) data for a geometry-optimized Zn2InS2 structure, as listed in Alexandria via LeMat-Bulk.

M_tot in μB/f.u.: 0.00
Calculated density in Mg/m³: 5.1
Calculated total energy in eV/atom: -2.86
Energy relative to the elements, uncorrected in meV/atom: -154

a = 4.805 Å, b = 4.805 Å, c = 8.780 Å
α = 90.00°, β = 90.00°, γ = 90.00°
Space group I4/mmm (No. 139)
Unique sites:
Zn 0.000 0.000 0.153 (multiplicity 4)
In 0.000 0.000 0.500 (multiplicity 2)
S 0.000 0.500 0.250 (multiplicity 4)


# 6
First-principles (PBE) data for a geometry-optimized Pm4SmHoSe8 structure, as listed in Alexandria via LeMat-Bulk.

M_tot in μB/f.u.: 0.00
Calculated density in Mg/m³: 5.6
Calculated total energy in eV/atom: -5.74
Energy relative to the elements, uncorrected in meV/atom: -1727

a = 8.5955 Å, b = 8.5955 Å, c = 21.0436 Å
α = 90.00°, β = 90.00°, γ = 120.00°
Space group R3m (No. 160, hexagonal axes)
Unique sites:
Pm 0.0000 0.0000 0.0000 (multiplicity 3)
Pm 0.1683 0.3366 0.2081 (multiplicity 9)
Sm 0.0000 0.0000 0.3764 (multiplicity 3)
Ho 0.0000 0.0000 0.7502 (multiplicity 3)
Se 0.0000 0.0000 0.1330 (multiplicity 3)
Se 0.0000 0.0000 0.6210 (multiplicity 3)
Se 0.0123 0.5061 0.1261 (multiplicity 9)
Se 0.1779 0.3559 0.9563 (multiplicity 9)